The following is a PBE-GGA calculation of a relaxed structure of GdErZnCd, from Alexandria.

Cell and atoms, written as POSCAR:
```
GdErZnCd
1.0
0.000 3.666 3.666
3.666 0.000 3.666
3.666 3.666 0.000
Gd Er Zn Cd
1 1 1 1
Direct
0.000 0.000 0.000 Gd
0.500 0.500 0.500 Er
0.250 0.250 0.250 Zn
0.750 0.750 0.750 Cd
```

V = 24.64 Å³ per atom
Raw total energy = -5.527 eV/atom
Formation energy = -0.318 eV/atom

The following is a PBE-GGA calculation of a relaxed structure of K2Tl2CdCl6, from Alexandria.

Cell and atoms, written as POSCAR:
```
K2Tl2CdCl6
1.0
3.918 -6.402 0.000
3.918 6.402 0.000
-2.509 0.000 7.262
K Tl Cd Cl
2 2 1 6
Direct
0.160 0.840 0.000 K
0.840 0.160 0.000 K
0.323 0.677 0.500 Tl
0.677 0.323 0.500 Tl
0.500 0.500 0.000 Cd
0.137 0.435 0.787 Cl
0.297 0.297 0.224 Cl
0.435 0.137 0.787 Cl
0.565 0.863 0.213 Cl
0.703 0.703 0.776 Cl
0.863 0.565 0.213 Cl
```

V = 33.12 Å³ per atom
Raw total energy = -3.097 eV/atom
ΔE_f (raw) = -15.14 eV/f.u.

The following is a PBE-GGA calculation of a relaxed structure of Ta2ZnMo, from Alexandria.

Cell and atoms, written as POSCAR:
```
Ta2ZnMo
1.0
2.767 0.000 0.000
0.000 4.284 0.000
0.000 0.000 5.723
Ta Zn Mo
2 1 1
Direct
0.000 0.000 0.000 Ta
0.500 0.500 0.265 Ta
0.000 0.000 0.508 Zn
0.500 0.500 0.755 Mo
```

V = 16.96 Å³ per atom
Raw total energy = -8.761 eV/atom
Formation energy = 0.192 eV/atom

The lowest V belongs to which entry?
Ta2ZnMo